An optimized crystal structure of CrCdSe2. Source: Alexandria via LeMat-Bulk, functional GGA-PBE.

## Properties
Total energy (eV/atom): -4.016

a = 11.5116 Å, b = 11.5116 Å, c = 11.5116 Å
α = 14.97°, β = 14.97°, γ = 14.97°
With the nearest neighbours (Å) after each atom.
Atoms (fractional coordinates):
1 Cr 0.0000 0.0000 0.0000  2 Se 2.43
2 Cd 0.5000 0.5000 0.5000  6 Cd 3.00
3 Se 0.0711 0.0711 0.0711  1 Cr 2.43
4 Se 0.9289 0.9289 0.9289  1 Cr 2.43